This record from the Alexandria database describes a crystal of HgBi2Os relaxed with PBEsol. The functional is meta-GGA SCAN.

The structure belongs to space group I-42d (No. 122); the cell edges are 6.397, 6.397 and 12.792 Å and the angles 90.00°, 90.00° and 90.00°. The inequivalent atoms are Hg at (0.000, 0.000, 0.000), Bi at (0.198, 0.250, 0.625) and Os at (0.000, 0.000, 0.500).

The formation energy comes out at 0.74 eV/atom. Its magnetic moment is 0.0 μB per formula unit. For the total energy, the calculation gives -1176.98 eV/cell.